Entry 1:
Computed, not measured: a crystal of CoH2SeO4 relaxed with PBEsol at the SCAN level of DFT.

Values from the calculation:
SG = P2_1/c (14)
final energy = -9.69 eV per atom
V = 334.1 Å³/cell

a b c (Å): 4.687 5.571 12.811
angles (deg): 90.00 90.00 92.66
Fractional positions:
O (0.376, 0.376, 0.110)
H (0.820, 0.046, 0.391)
H (0.320, 0.546, 0.109)
O (0.892, 0.113, 0.177)
Co (0.831, 0.126, 0.736)
Se (0.751, 0.879, 0.096)
O (0.396, 0.864, 0.122)
H (0.798, 0.723, 0.868)
O (0.896, 0.364, 0.378)
H (0.180, 0.954, 0.609)
O (0.104, 0.636, 0.622)
H (0.298, 0.223, 0.632)
Se (0.249, 0.121, 0.904)
H (0.202, 0.277, 0.132)
O (0.380, 0.158, 0.318)
O (0.392, 0.613, 0.323)
Se (0.251, 0.379, 0.404)
O (0.620, 0.842, 0.682)
H (0.680, 0.454, 0.891)
O (0.880, 0.658, 0.182)
O (0.624, 0.624, 0.890)
O (0.120, 0.342, 0.818)
Se (0.749, 0.621, 0.596)
O (0.604, 0.136, 0.878)
H (0.702, 0.777, 0.368)
O (0.608, 0.387, 0.677)
Co (0.669, 0.374, 0.236)
O (0.108, 0.887, 0.823)
Co (0.331, 0.626, 0.764)
O (0.124, 0.124, 0.610)
Co (0.169, 0.874, 0.264)
O (0.876, 0.876, 0.390)

=====

Entry 2:
Computed, not measured: a crystal of Tl2CoH12Se2O14 relaxed with PBEsol at the SCAN level of DFT.

Values from the calculation:
SG = P2_1/c (14)
DOS at the Fermi energy = 0.0 states/eV per cell
final energy = -11.68 eV per atom
V = 694.4 Å³/cell

a b c (Å): 6.346 9.180 12.249
angles (deg): 90.00 90.00 103.34
Fractional positions:
H (0.995, 0.851, 0.810)
O (0.563, 0.407, 0.753)
H (0.909, 0.751, 0.122)
Co (0.000, 0.000, 0.000)
H (0.674, 0.611, 0.558)
H (0.326, 0.889, 0.058)
O (0.721, 0.515, 0.564)
O (0.721, 0.015, 0.936)
O (0.408, 0.233, 0.444)
H (0.091, 0.749, 0.622)
O (0.833, 0.834, 0.109)
H (0.668, 0.470, 0.637)
Se (0.281, 0.093, 0.363)
O (0.592, 0.267, 0.944)
O (0.408, 0.733, 0.056)
H (0.332, 0.530, 0.363)
H (0.916, 0.728, 0.903)
Tl (0.675, 0.363, 0.163)
O (0.437, 0.093, 0.253)
O (0.024, 0.325, 0.613)
H (0.674, 0.111, 0.942)
Tl (0.325, 0.137, 0.663)
O (0.252, 0.433, 0.069)
H (0.682, 0.788, 0.083)
O (0.976, 0.175, 0.113)
O (0.976, 0.675, 0.387)
O (0.040, 0.121, 0.324)
H (0.005, 0.149, 0.190)
O (0.167, 0.166, 0.891)
H (0.668, 0.970, 0.863)
O (0.024, 0.825, 0.887)
O (0.748, 0.567, 0.931)
O (0.592, 0.767, 0.556)
H (0.326, 0.389, 0.442)
O (0.167, 0.666, 0.609)
H (0.084, 0.772, 0.403)
O (0.748, 0.067, 0.569)
H (0.005, 0.649, 0.310)
Tl (0.675, 0.863, 0.337)
Se (0.719, 0.907, 0.637)
O (0.040, 0.621, 0.176)
O (0.279, 0.985, 0.064)
O (0.960, 0.379, 0.824)
H (0.318, 0.712, 0.583)
Se (0.281, 0.593, 0.137)
H (0.332, 0.030, 0.137)
H (0.318, 0.212, 0.917)
H (0.682, 0.288, 0.417)
H (0.916, 0.228, 0.597)
H (0.909, 0.251, 0.378)
O (0.833, 0.334, 0.391)
H (0.995, 0.351, 0.690)
Co (0.000, 0.500, 0.500)
O (0.960, 0.879, 0.676)
Tl (0.325, 0.637, 0.837)
O (0.563, 0.907, 0.747)
H (0.084, 0.272, 0.097)
O (0.437, 0.593, 0.247)
H (0.091, 0.249, 0.878)
O (0.279, 0.485, 0.436)
O (0.252, 0.933, 0.431)
Se (0.719, 0.407, 0.863)

=====

Entry 3:
Computed, not measured: a crystal of CoHWO2 relaxed with PBEsol at the SCAN level of DFT.

Values from the calculation:
SG = P4/mmm (123)
DOS at the Fermi energy = 2.2 states/eV per cell
final energy = -20.97 eV per atom
V = 52.3 Å³/cell

a b c (Å): 3.500 3.865 3.865
angles (deg): 90.00 90.00 90.00
Fractional positions:
W (0.000, 0.000, 0.000)
Co (0.500, 0.500, 0.500)
H (0.500, 0.000, 0.000)
O (0.000, 0.500, 0.000)
O (0.000, 0.000, 0.500)

=====

Which value of V does entry 3 give? 52.3 Å³/cell